{
  "formula": "CsFeSiO4",
  "functional": "GGA+U",
  "state": "relaxed",
  "lattice": [[-2.751, -4.849, -0.525], [7.121, -3.515, -4.857], [4.054, -3.193, 8.253]],
  "species": ["O", "O", "O", "O", "O", "O", "O", "O", "O", "O", "O", "O", "O", "O", "O", "O", "Cs", "Cs", "Cs", "Cs", "Fe", "Fe", "Fe", "Fe", "Si", "Si", "Si", "Si"],
  "frac_coords": [[0.480, 0.482, 0.590], [0.245, 0.754, 0.461], [0.408, 0.746, 0.762], [0.780, 0.753, 0.526], [0.280, 0.747, 0.026], [0.980, 0.018, 0.090], [0.908, 0.254, 0.238], [0.780, 0.253, 0.974], [0.745, 0.246, 0.539], [0.480, 0.982, 0.910], [0.908, 0.754, 0.262], [0.245, 0.254, 0.039], [0.745, 0.746, 0.961], [0.980, 0.518, 0.410], [0.280, 0.247, 0.474], [0.408, 0.246, 0.738], [0.998, 0.998, 0.701], [0.998, 0.498, 0.799], [0.498, 0.502, 0.201], [0.498, 0.002, 0.299], [0.481, 0.181, 0.916], [0.481, 0.681, 0.584], [0.981, 0.319, 0.416], [0.981, 0.819, 0.084], [0.480, 0.306, 0.585], [0.980, 0.194, 0.085], [0.980, 0.694, 0.415], [0.480, 0.806, 0.915]],
  "total_energy_ev_per_atom": -6.732,
  "spacegroup": "Pna2_1"
}